[1]
Computed, not measured: a geometry-optimized Pm3Y2Tm3 structure at the PBE-GGA level of DFT.

The value obtained for the formation energy is 0.2 eV per formula unit.

Cell: 10.7294 10.7294 10.7294 Å, 152.89 152.72 38.84°
Element x y z (fractional)
Pm1 0.0000 0.0000 0.0000
Pm2 0.3765 0.8765 0.5000
Pm3 0.6235 0.1235 0.5000
Y1 0.2492 0.2492 0.0000
Y2 0.7508 0.7508 0.0000
Tm1 0.1251 0.6251 0.5000
Tm2 0.5000 0.5000 0.0000
Tm3 0.8749 0.3749 0.5000



[2]
Computed, not measured: a geometry-optimized Pm7Y2Tm4 structure at the PBE-GGA level of DFT.

The value obtained for the formation energy is 2.3 eV per formula unit.

Cell: 6.1626 6.1626 13.0917 Å, 90.00 90.00 120.00°
Element x y z (fractional)
Pm1 0.0000 0.0000 0.0000
Pm2 0.0000 0.3733 0.2247
Pm3 0.0000 0.6267 0.7753
Pm4 0.3733 0.0000 0.2247
Pm5 0.3733 0.3733 0.7753
Pm6 0.6267 0.0000 0.7753
Pm7 0.6267 0.6267 0.2247
Y1 0.3333 0.6667 0.0000
Y2 0.6667 0.3333 0.0000
Tm1 0.0000 0.0000 0.3922
Tm2 0.0000 0.0000 0.6078
Tm3 0.3333 0.6667 0.5000
Tm4 0.6667 0.3333 0.5000



[3]
Computed, not measured: a geometry-optimized Pm6Y3Tm structure at the PBE-GGA level of DFT.

The value obtained for the formation energy is 2.0 eV per formula unit. The calculation puts the energy above the most stable polymorph in this dataset at 60 meV per atom.

Cell: 6.1607 9.4059 13.2125 Å, 90.00 117.55 90.00°
Element x y z (fractional)
Pm1 0.0786 0.1573 0.0791
Pm2 0.0786 0.3427 0.5791
Pm3 0.1201 0.0334 0.7496
Pm4 0.1201 0.4666 0.2496
Pm5 0.4203 0.1543 0.4205
Pm6 0.4203 0.3457 0.9205
Pm7 0.5797 0.6543 0.0795
Pm8 0.5797 0.8457 0.5795
Pm9 0.8799 0.5334 0.7504
Pm10 0.8799 0.9666 0.2504
Pm11 0.9214 0.6573 0.4209
Pm12 0.9214 0.8427 0.9209
Y1 0.3611 0.6798 0.7494
Y2 0.3611 0.8202 0.2494
Y3 0.5000 0.0000 0.0000
Y4 0.5000 0.5000 0.5000
Y5 0.6389 0.1798 0.7506
Y6 0.6389 0.3202 0.2506
Tm1 0.0000 0.0000 0.5000
Tm2 0.0000 0.5000 0.0000



[4]
Computed, not measured: a geometry-optimized Pm2Y3Tm5 structure at the PBE-GGA level of DFT.

The value obtained for the formation energy is 2.0 eV per formula unit.

Cell: 9.4710 9.4710 9.4114 Å, 108.03 108.03 112.21°
Element x y z (fractional)
Pm1 0.0184 0.2671 0.0489
Pm2 0.2671 0.0184 0.5489
Pm3 0.7329 0.9816 0.4511
Pm4 0.9816 0.7329 0.9511
Y1 0.2221 0.4626 0.4513
Y2 0.2703 0.7297 0.2500
Y3 0.4626 0.2221 0.9513
Y4 0.5374 0.7779 0.0487
Y5 0.7297 0.2703 0.7500
Y6 0.7779 0.5374 0.5487
Tm1 0.0221 0.9779 0.7500
Tm2 0.1506 0.3829 0.7783
Tm3 0.2313 0.7687 0.7500
Tm4 0.3829 0.1506 0.2783
Tm5 0.4717 0.5283 0.2500
Tm6 0.5283 0.4717 0.7500
Tm7 0.6171 0.8494 0.7217
Tm8 0.7687 0.2313 0.2500
Tm9 0.8494 0.6171 0.2217
Tm10 0.9779 0.0221 0.2500



[5]
Computed, not measured: a geometry-optimized PmY2Tm structure at the PBE-GGA level of DFT.

The value obtained for the formation energy is 0.1 eV per formula unit. The calculation puts the energy above the most stable polymorph in this dataset at 6 meV per atom.

Cell: 5.0425 5.0425 5.0625 Å, 90.00 90.00 90.00°
Element x y z (fractional)
Pm1 0.0000 0.0000 0.0000
Y1 0.0000 0.5000 0.5000
Y2 0.5000 0.0000 0.5000
Tm1 0.5000 0.5000 0.0000



[6]
Computed, not measured: a geometry-optimized PmY2Tm4 structure at the PBE-GGA level of DFT.

The value obtained for the formation energy is 0.3 eV per formula unit. The calculation puts the energy above the most stable polymorph in this dataset at 0 meV per atom.

Cell: 8.4652 8.4652 8.7011 Å, 118.84 118.84 23.87°
Element x y z (fractional)
Pm1 0.0000 0.0000 0.0000
Y1 0.0704 0.0704 0.4302
Y2 0.9296 0.9296 0.5698
Tm1 0.2944 0.2944 0.7070
Tm2 0.3559 0.3559 0.1632
Tm3 0.6441 0.6441 0.8368
Tm4 0.7056 0.7056 0.2930



[7]
Computed, not measured: a geometry-optimized Pm8Y2Tm3 structure at the PBE-GGA level of DFT.

The value obtained for the formation energy is 0.2 eV per formula unit. The calculation puts the energy above the most stable polymorph in this dataset at 0 meV per atom.

Cell: 6.2347 6.2448 11.3889 Å, 89.80 79.34 80.34°
Element x y z (fractional)
Pm1 0.0376 0.0774 0.3468
Pm2 0.1929 0.3844 0.7316
Pm3 0.3450 0.6919 0.1138
Pm4 0.4226 0.8483 0.8078
Pm5 0.5774 0.1517 0.1922
Pm6 0.6550 0.3081 0.8862
Pm7 0.8071 0.6156 0.2684
Pm8 0.9624 0.9226 0.6532
Y1 0.2704 0.5388 0.4233
Y2 0.7296 0.4612 0.5767
Tm1 0.1135 0.2310 0.0388
Tm2 0.5000 0.0000 0.5000
Tm3 0.8865 0.7690 0.9612



[8]
Computed, not measured: a geometry-optimized Pm2Y5Tm4 structure at the PBE-GGA level of DFT.

The value obtained for the formation energy is 1.9 eV per formula unit. The calculation puts the energy above the most stable polymorph in this dataset at 74 meV per atom.

Cell: 8.9129 8.9129 6.6322 Å, 99.33 99.33 43.83°
Element x y z (fractional)
Pm1 0.2036 0.2036 0.2995
Pm2 0.7964 0.7964 0.7005
Y1 0.0000 0.0000 0.5000
Y2 0.1734 0.6473 0.0906
Y3 0.3527 0.8266 0.9094
Y4 0.6473 0.1734 0.0906
Y5 0.8266 0.3527 0.9094
Tm1 0.2436 0.2436 0.8051
Tm2 0.4126 0.4126 0.5953
Tm3 0.5874 0.5874 0.4047
Tm4 0.7564 0.7564 0.1949



[9]
Computed, not measured: a geometry-optimized Pm2Y7Tm4 structure at the PBE-GGA level of DFT.

The value obtained for the formation energy is 0.3 eV per formula unit.

Cell: 6.1573 7.9508 9.4153 Å, 65.11 83.80 82.61°
Element x y z (fractional)
Pm1 0.1543 0.1919 0.3842
Pm2 0.8457 0.8081 0.6158
Y1 0.0000 0.5000 0.0000
Y2 0.0764 0.3451 0.6934
Y3 0.2325 0.0381 0.0769
Y4 0.3864 0.7303 0.4617
Y5 0.6136 0.2697 0.5383
Y6 0.7675 0.9619 0.9231
Y7 0.9236 0.6549 0.3066
Tm1 0.3069 0.8822 0.7721
Tm2 0.4609 0.5764 0.1522
Tm3 0.5391 0.4236 0.8478
Tm4 0.6931 0.1178 0.2279



[10]
Computed, not measured: a geometry-optimized Pm2Y3Tm2 structure at the PBE-GGA level of DFT.

The value obtained for the formation energy is 0.9 eV per formula unit. The calculation puts the energy above the most stable polymorph in this dataset at 0 meV per atom.

Cell: 8.9346 8.9346 8.5624 Å, 118.52 118.52 22.61°
Element x y z (fractional)
Pm1 0.0660 0.0660 0.2188
Pm2 0.9340 0.9340 0.7812
Y1 0.2883 0.2883 0.3742
Y2 0.5000 0.5000 0.5000
Y3 0.7117 0.7117 0.6258
Tm1 0.3503 0.3503 0.0332
Tm2 0.6497 0.6497 0.9668



[11]
Computed, not measured: a geometry-optimized Pm7Y2Tm3 structure at the PBE-GGA level of DFT.

The value obtained for the formation energy is 0.8 eV per formula unit. The calculation puts the energy above the most stable polymorph in this dataset at 0 meV per atom.

Cell: 6.4287 3.5498 17.4963 Å, 90.00 95.91 90.00°
Element x y z (fractional)
Pm1 0.0000 0.0000 0.0000
Pm2 0.2266 0.5000 0.1716
Pm3 0.2587 0.5000 0.4953
Pm4 0.2761 0.0000 0.8344
Pm5 0.7239 0.0000 0.1656
Pm6 0.7413 0.5000 0.5047
Pm7 0.7734 0.5000 0.8284
Y1 0.0595 0.5000 0.6704
Y2 0.9405 0.5000 0.3296
Tm1 0.4539 0.0000 0.3413
Tm2 0.5000 0.5000 0.0000
Tm3 0.5461 0.0000 0.6587



[12]
Computed, not measured: a geometry-optimized PmY4Tm structure at the PBE-GGA level of DFT.

The value obtained for the formation energy is 4.0 eV per formula unit. The calculation puts the energy above the most stable polymorph in this dataset at 604 meV per atom.

Cell: 4.5628 4.5628 10.9911 Å, 90.00 90.00 90.00°
Element x y z (fractional)
Pm1 0.0000 0.0000 0.0000
Y1 0.0000 0.5000 0.2545
Y2 0.0000 0.5000 0.7455
Y3 0.5000 0.0000 0.2545
Y4 0.5000 0.0000 0.7455
Tm1 0.5000 0.5000 0.5000



[13]
Computed, not measured: a geometry-optimized Pm3Y2Tm7 structure at the PBE-GGA level of DFT.

The value obtained for the formation energy is 1.1 eV per formula unit.

Cell: 5.7745 3.5410 18.7146 Å, 90.00 93.07 90.00°
Element x y z (fractional)
Pm1 0.0000 0.0000 0.0000
Pm2 0.2759 0.5000 0.6318
Pm3 0.7241 0.5000 0.3682
Y1 0.2111 0.0000 0.2914
Y2 0.7889 0.0000 0.7086
Tm1 0.1916 0.5000 0.1421
Tm2 0.2429 0.0000 0.4619
Tm3 0.3057 0.0000 0.8256
Tm4 0.5000 0.5000 0.0000
Tm5 0.6943 0.0000 0.1744
Tm6 0.7571 0.0000 0.5381
Tm7 0.8084 0.5000 0.8579



[14]
Computed, not measured: a geometry-optimized Pm2Y2Tm structure at the PBE-GGA level of DFT.

The value obtained for the formation energy is 0.1 eV per formula unit. The calculation puts the energy above the most stable polymorph in this dataset at 0 meV per atom.

Cell: 8.5302 8.5302 6.7922 Å, 102.65 102.65 43.44°
Element x y z (fractional)
Pm1 0.0181 0.1811 0.4460
Pm2 0.1811 0.0181 0.9460
Pm3 0.8189 0.9819 0.0540
Pm4 0.9819 0.8189 0.5540
Y1 0.2189 0.3829 0.8472
Y2 0.3829 0.2189 0.3472
Y3 0.6171 0.7811 0.6528
Y4 0.7811 0.6171 0.1528
Tm1 0.4159 0.5841 0.2500
Tm2 0.5841 0.4159 0.7500



[15]
Computed, not measured: a geometry-optimized Pm7Y2Tm3 structure at the PBE-GGA level of DFT.

The value obtained for the formation energy is 1.4 eV per formula unit. The calculation puts the energy above the most stable polymorph in this dataset at 48 meV per atom.

Cell: 19.2747 19.2747 3.6249 Å, 90.00 90.00 162.79°
Element x y z (fractional)
Pm1 0.0000 0.0000 0.0000
Pm2 0.0720 0.9280 0.5000
Pm3 0.2323 0.7677 0.0000
Pm4 0.4075 0.5925 0.0000
Pm5 0.5925 0.4075 0.0000
Pm6 0.7677 0.2323 0.0000
Pm7 0.9280 0.0720 0.5000
Y1 0.1490 0.8510 0.0000
Y2 0.8510 0.1490 0.0000
Tm1 0.3149 0.6851 0.5000
Tm2 0.5000 0.5000 0.5000
Tm3 0.6851 0.3149 0.5000



[16]
Computed, not measured: a geometry-optimized Pm4YTm15 structure at the PBE-GGA level of DFT.

The value obtained for the formation energy is 0.5 eV per formula unit.

Cell: 4.9874 4.9874 24.8636 Å, 90.00 90.00 90.00°
Element x y z (fractional)
Pm1 0.0000 0.0000 0.1002
Pm2 0.0000 0.0000 0.3001
Pm3 0.0000 0.0000 0.6999
Pm4 0.0000 0.0000 0.8998
Y1 0.0000 0.0000 0.5000
Tm1 0.0000 0.5000 0.0000
Tm2 0.0000 0.5000 0.2002
Tm3 0.0000 0.5000 0.4005
Tm4 0.0000 0.5000 0.5995
Tm5 0.0000 0.5000 0.7998
Tm6 0.5000 0.0000 0.0000
Tm7 0.5000 0.0000 0.2002
Tm8 0.5000 0.0000 0.4005
Tm9 0.5000 0.0000 0.5995
Tm10 0.5000 0.0000 0.7998
Tm11 0.5000 0.5000 0.1000
Tm12 0.5000 0.5000 0.3005
Tm13 0.5000 0.5000 0.5000
Tm14 0.5000 0.5000 0.6995
Tm15 0.5000 0.5000 0.9000



[17]
Computed, not measured: a geometry-optimized Pm7YTm4 structure at the PBE-GGA level of DFT.

The value obtained for the formation energy is 0.0 eV per formula unit.

Cell: 6.2808 7.2457 8.9163 Å, 90.02 103.64 90.03°
Element x y z (fractional)
Pm1 0.0000 0.0000 0.0000
Pm2 0.2222 0.5000 0.6649
Pm3 0.2813 0.7512 0.3363
Pm4 0.4991 0.2459 0.0021
Pm5 0.5009 0.7541 0.9979
Pm6 0.7187 0.2488 0.6637
Pm7 0.7778 0.5000 0.3351
Y1 0.0000 0.5000 0.0000
Tm1 0.2191 0.0001 0.6644
Tm2 0.2773 0.2466 0.3338
Tm3 0.7227 0.7534 0.6662
Tm4 0.7809 0.9999 0.3356



[18]
Computed, not measured: a geometry-optimized Pm2Y3Tm9 structure at the PBE-GGA level of DFT.

The value obtained for the formation energy is 1.7 eV per formula unit.

Cell: 6.1734 8.6670 8.6772 Å, 79.45 77.73 87.41°
Element x y z (fractional)
Pm1 0.0438 0.0295 0.2967
Pm2 0.9562 0.9705 0.7033
Y1 0.2479 0.6209 0.7278
Y2 0.5000 0.0000 0.0000
Y3 0.7521 0.3791 0.2722
Tm1 0.0074 0.7480 0.0856
Tm2 0.1556 0.3350 0.5057
Tm3 0.3090 0.3849 0.1026
Tm4 0.4090 0.6855 0.3041
Tm5 0.5000 0.0000 0.5000
Tm6 0.5910 0.3145 0.6959
Tm7 0.6910 0.6151 0.8974
Tm8 0.8444 0.6650 0.4943
Tm9 0.9926 0.2520 0.9144



[19]
Computed, not measured: a geometry-optimized Pm2YTm7 structure at the PBE-GGA level of DFT.

The value obtained for the formation energy is 0.2 eV per formula unit. The calculation puts the energy above the most stable polymorph in this dataset at 0 meV per atom.

Cell: 6.1091 7.0502 7.8960 Å, 77.10 74.96 73.32°
Element x y z (fractional)
Pm1 0.2014 0.2995 0.1004
Pm2 0.7986 0.7005 0.8996
Y1 0.0000 0.0000 0.5000
Tm1 0.0000 0.5000 0.5000
Tm2 0.1997 0.7998 0.0999
Tm3 0.3994 0.1013 0.6983
Tm4 0.4014 0.5996 0.6984
Tm5 0.5986 0.4004 0.3016
Tm6 0.6006 0.8987 0.3017
Tm7 0.8003 0.2002 0.9001



[20]
Computed, not measured: a geometry-optimized Pm2Y7Tm2 structure at the PBE-GGA level of DFT.

The value obtained for the formation energy is 1.8 eV per formula unit. The calculation puts the energy above the most stable polymorph in this dataset at 53 meV per atom.

Cell: 8.0706 8.0706 6.0618 Å, 105.74 105.74 92.49°
Element x y z (fractional)
Pm1 0.2108 0.7892 0.0000
Pm2 0.7892 0.2108 0.0000
Y1 0.0000 0.0000 0.5000
Y2 0.0652 0.5882 0.3222
Y3 0.4083 0.4083 0.6938
Y4 0.4118 0.9348 0.6778
Y5 0.5882 0.0652 0.3222
Y6 0.5917 0.5917 0.3062
Y7 0.9348 0.4118 0.6778
Tm1 0.2324 0.2324 0.0823
Tm2 0.7676 0.7676 0.9177